Record 1
A relaxed structure of SrOsSe2. Source: the Alexandria database, functional PBE. Values from VASP.

```
&SYSTEM
  ibrav = 0, nat = 4, ntyp = 3
/
ATOMIC_SPECIES
Sr 87.62 Sr.upf
Se 78.96 Se.upf
Os 190.23 Os.upf
CELL_PARAMETERS angstrom
-0.965 2.737 -1.743
-0.102 -1.844 -2.838
-6.842 -1.596 1.283
ATOMIC_POSITIONS angstrom
Sr -2.244 0.048 -1.970
Se -6.532 -1.524 1.225
Se -3.730 -0.870 0.700
Os -5.665 -0.750 -1.328
```

Values from the calculation:
The uncorrected formation energy comes out at 0.097 eV per atom. The energy above the most stable polymorph in this dataset comes out at 753 meV/atom. The density of states at the Fermi level comes out at 0.882 states/eV per atom. As for the final energy: -4.87 eV per atom.


Record 2
A relaxed structure of KRb2SbH. Source: the Alexandria database, functional PBE. Values from VASP.

```
&SYSTEM
  ibrav = 0, nat = 5, ntyp = 4
/
ATOMIC_SPECIES
Rb 85.47 Rb.upf
H 1.01 H.upf
Sb 121.76 Sb.upf
K 39.10 K.upf
CELL_PARAMETERS angstrom
5.747 0.000 0.000
0.000 5.747 0.000
0.000 0.000 5.479
ATOMIC_POSITIONS angstrom
Rb 0.000 2.874 0.000
Rb 2.874 0.000 0.000
H 0.000 0.000 0.000
Sb 2.874 2.874 2.740
K 0.000 0.000 2.740
```

Values from the calculation:
The density of states at the Fermi level comes out at 0.701 states/eV per atom. As for the final energy: -2.33 eV per atom.


Record 3
A relaxed structure of Ca3GaBi2Pd9. Source: the Alexandria database, functional PBE. Values from VASP.

```
&SYSTEM
  ibrav = 0, nat = 15, ntyp = 4
/
ATOMIC_SPECIES
Pd 106.42 Pd.upf
Ca 40.08 Ca.upf
Bi 208.98 Bi.upf
Ga 69.72 Ga.upf
CELL_PARAMETERS angstrom
-4.061 3.765 -4.291
-2.874 -4.762 4.260
-0.901 6.075 6.182
ATOMIC_POSITIONS angstrom
Pd -2.030 1.883 -2.146
Pd -5.777 0.332 2.234
Pd -4.560 7.067 1.273
Pd -3.275 -1.988 4.878
Pd -3.467 -0.498 -0.016
Pd -1.437 -2.381 2.130
Pd -1.504 0.946 2.253
Pd -6.331 4.133 3.898
Pd -2.058 4.747 3.917
Ca -3.903 2.528 0.193
Ca 0.000 0.000 0.000
Ca -3.932 2.550 5.958
Bi -3.459 -0.639 2.712
Bi -4.376 5.718 3.439
Ga -0.450 3.037 3.091
```

Values from the calculation:
For the energy of formation from the pure elements, the calculation gives -4.72 eV per formula unit. The density of states at the Fermi level comes out at 0.544 states/eV per atom. As for the final energy: -4.55 eV per atom.


Record 4
A relaxed structure of Ca2ZrZn. Source: the Alexandria database, functional PBE. Values from VASP.

```
&SYSTEM
  ibrav = 0, nat = 4, ntyp = 3
/
ATOMIC_SPECIES
Zr 91.22 Zr.upf
Ca 40.08 Ca.upf
Zn 65.41 Zn.upf
CELL_PARAMETERS angstrom
5.916 0.019 0.000
2.153 5.510 0.000
-4.035 -2.765 3.328
ATOMIC_POSITIONS angstrom
Zr 2.958 0.009 1.664
Ca 1.077 2.755 1.664
Ca 0.000 0.000 0.000
Zn 4.035 2.765 0.000
```

Values from the calculation:
For the energy of formation from the pure elements, the calculation gives 1.31 eV per formula unit. The density of states at the Fermi level comes out at 1.514 states/eV per atom. As for the final energy: -3.13 eV per atom.


Record 5
A relaxed structure of Zr4BeCr. Source: the Alexandria database, functional PBE. Values from VASP.

```
&SYSTEM
  ibrav = 0, nat = 6, ntyp = 3
/
ATOMIC_SPECIES
Zr 91.22 Zr.upf
Cr 52.00 Cr.upf
Be 9.01 Be.upf
CELL_PARAMETERS angstrom
0.000 4.007 4.007
4.007 0.000 4.007
4.007 4.007 0.000
ATOMIC_POSITIONS angstrom
Zr 5.013 5.013 3.000
Zr 3.000 3.000 3.000
Zr 5.013 3.000 5.013
Zr 3.000 5.013 5.013
Cr 0.000 0.000 0.000
Be 6.010 6.010 6.010
```

Values from the calculation:
For the energy of formation from the pure elements, the calculation gives 4.61 eV per formula unit. The density of states at the Fermi level comes out at 1.006 states/eV per atom. As for the final energy: -7.16 eV per atom.


Record 6
A relaxed structure of Ti12Nb5As3. Source: the Alexandria database, functional PBE. Values from VASP.

```
&SYSTEM
  ibrav = 0, nat = 80, ntyp = 3
/
ATOMIC_SPECIES
Ti 47.87 Ti.upf
Nb 92.91 Nb.upf
As 74.92 As.upf
CELL_PARAMETERS angstrom
-3.635 9.382 8.171
-9.898 -3.001 -7.812
3.508 -10.492 6.754
ATOMIC_POSITIONS angstrom
Ti -4.435 -0.766 -1.514
Ti -4.913 -5.355 6.970
Ti -0.381 -4.261 2.379
Ti -4.670 -1.240 5.953
Ti -5.913 4.852 6.762
Ti -4.112 -8.962 0.352
Ti -2.958 -3.210 4.542
Ti -5.747 -6.694 -0.641
Ti -4.279 2.584 7.755
Ti -1.097 -0.574 12.624
Ti -9.073 -4.261 1.939
Ti -8.629 5.330 4.170
Ti -7.067 -0.900 2.572
Ti 1.200 -6.325 5.625
Ti -5.356 -2.870 1.160
Ti -7.102 -0.671 -2.809
Ti -0.962 -2.615 6.249
Ti -8.938 -1.975 6.228
Ti -2.189 -5.322 8.143
Ti -6.957 -3.712 3.512
Ti -0.953 0.151 5.174
Ti -6.266 -7.159 3.262
Ti -8.101 -5.708 -4.151
Ti -2.923 -3.439 9.923
Ti -2.249 -7.491 4.595
Ti -8.928 -3.536 -5.510
Ti -1.924 1.598 11.264
Ti -4.124 -6.386 1.823
Ti -7.837 1.212 -1.030
Ti -1.088 -2.135 0.885
Ti -5.590 -3.344 8.627
Ti -3.069 -0.398 3.602
Ti -3.890 5.691 5.195
Ti -5.901 2.276 5.290
Ti -6.136 -9.801 1.918
Ti -5.112 1.245 0.144
Ti -7.776 3.381 2.518
Ti -7.409 -3.594 -0.425
Ti -11.226 2.215 1.488
Ti -2.617 -0.516 7.539
Ti -2.200 3.532 6.329
Ti -3.760 3.049 3.852
Ti -9.063 -1.496 0.865
Ti -7.825 -7.642 0.784
Ti -1.397 -9.440 2.944
Ti 1.852 -8.560 6.979
Ti -11.877 4.450 0.135
Ti -9.644 0.151 4.735
Nb -0.063 -0.555 7.463
Nb -10.056 0.615 -0.040
Nb -3.289 -2.575 -0.219
Nb -3.399 1.457 1.955
Nb -2.428 -5.337 3.335
Nb -6.626 -5.567 5.158
Nb 0.031 -4.726 7.153
Nb -9.131 -1.592 -3.948
Nb -6.736 -1.535 7.333
Nb 0.000 0.000 0.000
Nb -0.894 -2.519 11.062
Nb -5.013 -2.055 3.557
Nb -4.949 -1.500 -3.906
Nb -7.597 1.227 3.779
Nb -6.767 3.191 0.180
Nb -6.563 -5.012 -2.305
Nb -3.463 0.902 9.418
Nb 1.754 -5.246 3.377
Nb -3.195 -6.746 -0.529
Nb -1.817 4.691 4.085
As -6.673 -0.980 -0.130
As -0.831 -1.964 3.599
As -3.541 5.212 7.862
As 0.140 -8.758 4.979
As -10.166 4.648 2.135
As -6.000 4.600 4.043
As -9.195 -2.146 3.514
As -6.594 -5.290 1.427
As -3.353 -3.130 7.243
As -4.026 -8.710 3.070
As -6.485 -9.322 -0.748
As -3.431 1.179 5.687
```

Values from the calculation:
For the energy of formation from the pure elements, the calculation gives 16.19 eV per formula unit. The density of states at the Fermi level comes out at 1.563 states/eV per atom. As for the final energy: -7.14 eV per atom.